i) VASP calculation (GGA-PBE) on a relaxed structure of K3CaNb.

Properties
Density   1.17 g cm⁻³
Space-group type   No. 221
Crystal system   cubic
Total magnetization   4.7 Bohr magnetons per cell

a b c (Å): 7.0734 7.0734 7.0734
angles (deg): 90.00 90.00 90.00
Element x y z (fractional)
K: 0.0000 0.0000 0.5000
K: 0.0000 0.5000 0.0000
K: 0.5000 0.0000 0.0000
Ca: 0.0000 0.0000 0.0000
Nb: 0.5000 0.5000 0.5000



ii) VASP calculation (GGA-PBE) on a relaxed structure of K3CaNb.

Properties
Density   1.36 g cm⁻³
Space-group type   No. 221
Crystal system   cubic
Total magnetization   5.4 Bohr magnetons per cell

a b c (Å): 6.7355 6.7355 6.7355
angles (deg): 90.00 90.00 90.00
Element x y z (fractional)
K: 0.0000 0.0000 0.5000
K: 0.0000 0.5000 0.0000
K: 0.5000 0.0000 0.0000
Ca: 0.5000 0.5000 0.5000
Nb: 0.0000 0.0000 0.0000



Energies relative to the minimum, meV per atom: i) 371; ii) 0



i) VASP calculation (GGA-PBE) on a relaxed structure of KCa2Nd.

Properties
Density   2.43 g cm⁻³
Space-group type   No. 123
Crystal system   tetragonal
Total magnetization   0.0 Bohr magnetons per cell

a b c (Å): 3.8436 3.8436 12.1654
angles (deg): 90.00 90.00 90.00
Element x y z (fractional)
K: 0.0000 0.0000 0.0000
Ca: 0.5000 0.5000 0.2857
Ca: 0.5000 0.5000 0.7143
Nd: 0.0000 0.0000 0.5000



ii) VASP calculation (GGA-PBE) on a relaxed structure of KCa2Nd.

Properties
Density   2.49 g cm⁻³
Space-group type   No. 166
Crystal system   trigonal
Total magnetization   0.0 Bohr magnetons per cell

a b c (Å): 3.8745 3.8745 40.5335
angles (deg): 90.00 90.00 120.00
Element x y z (fractional)
K: 0.0000 0.0000 0.0000
K: 0.3333 0.6667 0.6667
K: 0.6667 0.3333 0.3333
Ca: 0.0000 0.0000 0.2418
Ca: 0.0000 0.0000 0.7582
Ca: 0.3333 0.6667 0.4249
Ca: 0.3333 0.6667 0.9085
Ca: 0.6667 0.3333 0.0915
Ca: 0.6667 0.3333 0.5751
Nd: 0.0000 0.0000 0.5000
Nd: 0.3333 0.6667 0.1667
Nd: 0.6667 0.3333 0.8333



Energies relative to the minimum, meV per atom: i) 0; ii) 7



i) VASP calculation (GGA-PBE) on a relaxed structure of K2CaNi.

Properties
Density   1.77 g cm⁻³
Space-group type   No. 6
Crystal system   monoclinic
Total magnetization   0.0 Bohr magnetons per cell

a b c (Å): 4.1011 3.9234 10.5145
angles (deg): 90.00 100.94 90.00
Element x y z (fractional)
K: 0.0000 0.0000 0.0000
K: 0.3123 0.5000 0.6177
Ca: 0.6471 0.5000 0.2986
Ni: 0.1638 0.0000 0.3351



ii) VASP calculation (GGA-PBE) on a relaxed structure of K2CaNi.

Properties
Density   1.77 g cm⁻³
Space-group type   No. 44
Crystal system   orthorhombic
Total magnetization   0.0 Bohr magnetons per cell

a b c (Å): 3.8721 6.2738 13.7064
angles (deg): 90.00 90.00 90.00
Element x y z (fractional)
K: 0.0000 0.0000 0.0000
K: 0.0000 0.5000 0.1715
K: 0.5000 0.0000 0.6715
K: 0.5000 0.5000 0.5000
Ca: 0.0000 0.0000 0.3344
Ca: 0.5000 0.5000 0.8344
Ni: 0.0000 0.5000 0.6996
Ni: 0.5000 0.0000 0.1996



iii) VASP calculation (GGA-PBE) on a relaxed structure of K2CaNi.

Properties
Density   2.15 g cm⁻³
Space-group type   No. 123
Crystal system   tetragonal
Total magnetization   0.0 Bohr magnetons per cell

a b c (Å): 4.7562 4.7562 6.0376
angles (deg): 90.00 90.00 90.00
Element x y z (fractional)
K: 0.0000 0.5000 0.0000
K: 0.5000 0.0000 0.0000
Ca: 0.0000 0.0000 0.5000
Ni: 0.5000 0.5000 0.5000



Energies relative to the minimum, meV per atom: i) 0; ii) 139; iii) 305



i) VASP calculation (GGA-PBE) on a relaxed structure of KCaNi3.

Properties
Density   3.38 g cm⁻³
Space-group type   No. 221
Crystal system   cubic
Total magnetization   0.0 Bohr magnetons per cell

a b c (Å): 5.0074 5.0074 5.0074
angles (deg): 90.00 90.00 90.00
Element x y z (fractional)
K: 0.0000 0.0000 0.0000
Ca: 0.5000 0.5000 0.5000
Ni: 0.0000 0.5000 0.5000
Ni: 0.5000 0.0000 0.5000
Ni: 0.5000 0.5000 0.0000



ii) VASP calculation (GGA-PBE) on a relaxed structure of KCaNi3.

Properties
Density   3.92 g cm⁻³
Space-group type   No. 221
Crystal system   cubic
Total magnetization   0.0 Bohr magnetons per cell

a b c (Å): 4.7636 4.7636 4.7636
angles (deg): 90.00 90.00 90.00
Element x y z (fractional)
K: 0.0000 0.0000 0.0000
Ca: 0.5000 0.5000 0.5000
Ni: 0.0000 0.0000 0.5000
Ni: 0.0000 0.5000 0.0000
Ni: 0.5000 0.0000 0.0000



Energies relative to the minimum, meV per atom: i) 0; ii) 240



i) VASP calculation (GGA-PBE) on a relaxed structure of KCa3Ni.

Properties
Density   1.53 g cm⁻³
Space-group type   No. 221
Crystal system   cubic
Total magnetization   0.2 Bohr magnetons per cell

a b c (Å): 6.1908 6.1908 6.1908
angles (deg): 90.00 90.00 90.00
Element x y z (fractional)
K: 0.0000 0.0000 0.0000
Ca: 0.0000 0.0000 0.5000
Ca: 0.0000 0.5000 0.0000
Ca: 0.5000 0.0000 0.0000
Ni: 0.5000 0.5000 0.5000



ii) VASP calculation (GGA-PBE) on a relaxed structure of KCa3Ni.

Properties
Density   1.95 g cm⁻³
Space-group type   No. 221
Crystal system   cubic
Total magnetization   0.0 Bohr magnetons per cell

a b c (Å): 5.7090 5.7090 5.7090
angles (deg): 90.00 90.00 90.00
Element x y z (fractional)
K: 0.0000 0.0000 0.0000
Ca: 0.0000 0.5000 0.5000
Ca: 0.5000 0.0000 0.5000
Ca: 0.5000 0.5000 0.0000
Ni: 0.5000 0.5000 0.5000



Energies relative to the minimum, meV per atom: i) 1415; ii) 0



i) VASP calculation (GGA-PBE) on a relaxed structure of KCa3O.

Properties
Density   1.94 g cm⁻³
Space-group type   No. 221
Crystal system   cubic
Total magnetization   0.0 Bohr magnetons per cell

a b c (Å): 5.3116 5.3116 5.3116
angles (deg): 90.00 90.00 90.00
Element x y z (fractional)
K: 0.0000 0.0000 0.0000
Ca: 0.0000 0.5000 0.5000
Ca: 0.5000 0.0000 0.5000
Ca: 0.5000 0.5000 0.0000
O: 0.5000 0.5000 0.5000



ii) VASP calculation (GGA-PBE) on a relaxed structure of KCa3O.

Properties
Density   1.02 g cm⁻³
Space-group type   No. 221
Crystal system   cubic
Total magnetization   0.0 Bohr magnetons per cell

a b c (Å): 6.5887 6.5887 6.5887
angles (deg): 90.00 90.00 90.00
Element x y z (fractional)
K: 0.0000 0.0000 0.0000
Ca: 0.0000 0.0000 0.5000
Ca: 0.0000 0.5000 0.0000
Ca: 0.5000 0.0000 0.0000
O: 0.5000 0.5000 0.5000



Energies relative to the minimum, meV per atom: i) 0; ii) 1966



i) VASP calculation (GGA-PBE) on a relaxed structure of K3CaO.

Properties
Density   0.70 g cm⁻³
Space-group type   No. 221
Crystal system   cubic
Total magnetization   0.9 Bohr magnetons per cell

a b c (Å): 7.4283 7.4283 7.4283
angles (deg): 90.00 90.00 90.00
Element x y z (fractional)
K: 0.0000 0.0000 0.5000
K: 0.0000 0.5000 0.0000
K: 0.5000 0.0000 0.0000
Ca: 0.0000 0.0000 0.0000
O: 0.5000 0.5000 0.5000



ii) VASP calculation (GGA-PBE) on a relaxed structure of K3CaO.

Properties
Density   1.53 g cm⁻³
Space-group type   No. 221
Crystal system   cubic
Total magnetization   0.0 Bohr magnetons per cell

a b c (Å): 5.7342 5.7342 5.7342
angles (deg): 90.00 90.00 90.00
Element x y z (fractional)
K: 0.0000 0.0000 0.5000
K: 0.0000 0.5000 0.0000
K: 0.5000 0.0000 0.0000
Ca: 0.5000 0.5000 0.5000
O: 0.0000 0.0000 0.0000



Energies relative to the minimum, meV per atom: i) 1115; ii) 0



i) VASP calculation (GGA-PBE) on a relaxed structure of KCaPO4.

Properties
Density   1.95 g cm⁻³
Space-group type   No. 12
Crystal system   monoclinic
Total magnetization   2.0 Bohr magnetons per cell

a b c (Å): 7.6309 7.6309 6.5827
angles (deg): 100.55 100.55 52.16
Element x y z (fractional)
K: 0.0000 0.0000 0.0000
K: 0.0000 0.0000 0.5000
Ca: 0.3285 0.3285 0.8696
Ca: 0.6715 0.6715 0.1304
P: 0.4984 0.4984 0.6696
P: 0.5016 0.5016 0.3304
O: 0.1630 0.1630 0.8308
O: 0.2525 0.6256 0.7171
O: 0.3744 0.7475 0.2829
O: 0.3929 0.3929 0.2104
O: 0.6071 0.6071 0.7896
O: 0.6256 0.2525 0.7171
O: 0.7475 0.3744 0.2829
O: 0.8370 0.8370 0.1692



ii) VASP calculation (GGA-PBE) on a relaxed structure of KCaPO4.

Properties
Density   2.62 g cm⁻³
Space-group type   No. 11
Crystal system   monoclinic
Total magnetization   0.0 Bohr magnetons per cell

a b c (Å): 5.6071 5.6857 7.1941
angles (deg): 90.00 105.99 90.00
Element x y z (fractional)
K: 0.1970 0.2500 0.4294
K: 0.8030 0.7500 0.5706
Ca: 0.2814 0.2500 0.9578
Ca: 0.7186 0.7500 0.0422
P: 0.2627 0.7500 0.1724
P: 0.7373 0.2500 0.8276
O: 0.0904 0.7500 0.3081
O: 0.0984 0.7500 0.9583
O: 0.4391 0.5314 0.2036
O: 0.4391 0.9686 0.2036
O: 0.5609 0.0314 0.7964
O: 0.5609 0.4686 0.7964
O: 0.9016 0.2500 0.0417
O: 0.9096 0.2500 0.6919



Energies relative to the minimum, meV per atom: i) 647; ii) 0